## CePmEr (PBE)

Data for crystalline CePmEr at its relaxed geometry.

a = 6.5913 Å, b = 6.5913 Å, c = 9.7408 Å
α = 137.58°, β = 137.58°, γ = 50.79°
Closest atoms and distances in Å follow each position.
Fractional positions:
Ce 0.9998 0.9998 0.8604  1 Ce 2.72
Er 0.7506 0.7506 0.2504  2 Er 3.42-3.44, 4 Ce 3.58, 6 Pm 3.65-3.70
Ce 0.0002 0.0002 0.1396  1 Ce 2.72
Pm 0.5000 0.5000 0.6695  1 Pm 3.30, 4 Ce 3.38-3.45, 6 Er 3.65-3.70
Er 0.2494 0.2494 0.7496  2 Er 3.42-3.44, 4 Ce 3.58, 6 Pm 3.65-3.70
Pm 0.5000 0.5000 0.3305  1 Pm 3.30, 4 Ce 3.38-3.45, 6 Er 3.65-3.70

- formation energy from the elements (eV per atom) = 0.10
- E above lowest polymorph (meV/atom) = 29
- space group = Immm, No. 71